14
Lattice="8.421 0.000 0.000 -4.211 7.468 -0.617 0.000 -4.580 7.533" Properties=species:S:1:pos:R:3 comment="RbPrUS4 PBE relaxed" energy_ev_per_atom=-6.3690 crystal_system=orthorhombic spacegroup="No. 74" pbc="T T T"
U -2.105 1.444 3.458
S 4.211 2.208 1.883
S 0.000 0.680 5.032
Pr 4.211 0.000 0.000
S 1.833 3.736 4.851
S 0.000 2.490 2.055
S 6.044 -0.848 2.064
Rb 0.000 -2.063 6.484
S -1.833 3.736 4.851
S 2.377 -0.848 2.064
U 2.105 1.444 3.458
Rb 4.211 4.951 0.431
Pr 4.211 -2.290 3.766
S 4.211 0.398 4.860

---

4
Lattice="-0.348 -3.064 -0.549 0.662 -2.079 2.248 -9.689 -1.205 3.923" Properties=species:S:1:pos:R:3 comment="NpNiSn2 PBE relaxed" delta_e_f_ev_per_atom=0.255 energy_ev_per_atom=-6.4272 crystal_system=trigonal spacegroup="No. 166" pbc="T T T"
Ni -4.687 -3.174 2.811
Np 0.000 0.000 0.000
Sn -6.649 -1.363 2.881
Sn -2.726 -4.985 2.740

---

15
Lattice="9.182 0.000 0.000 -4.591 7.952 -0.032 0.000 -5.269 9.094" Properties=species:S:1:pos:R:3 comment="Cs3Ce3YTe8 PBE relaxed" energy_ev_per_atom=-4.8155 crystal_system=trigonal spacegroup="No. 166" pbc="T T T"
Ce 2.295 1.342 4.531
Cs 0.000 0.000 0.000
Cs 2.295 3.976 -0.016
Te 4.591 0.024 6.289
Y 0.000 -2.634 4.547
Te 0.000 -0.002 6.247
Te 2.272 -1.329 2.831
Te 2.318 4.012 6.230
Ce 4.591 -2.634 4.547
Ce -2.295 1.342 4.531
Te 0.000 2.659 2.772
Cs -2.295 3.976 -0.016
Te 4.591 2.685 2.815
Te 6.909 -1.329 2.831
Te -2.318 4.012 6.231